(1)
# NbBS4 PBE optimized geometry
# **Space-group type**: I4_1/amd (141)
# **Total moment**: 0.00 μB per formula unit
# **E**: -6.08 eV per atom
data_NbBS4
_chemical_formula_sum 'Nb2 B2 S8'
_symmetry_space_group_name_H-M 'P 1'
_symmetry_Int_Tables_number 1
_cell_length_a 6.527
_cell_length_b 6.527
_cell_length_c 6.527
_cell_angle_alpha 106.41
_cell_angle_beta 106.41
_cell_angle_gamma 115.79
loop_
_symmetry_equiv_pos_as_xyz
'x,y,z'
loop_
_atom_site_label
_atom_site_type_symbol
_atom_site_fract_x
_atom_site_fract_y
_atom_site_fract_z
_atom_site_occupancy
Nb1 Nb 0.375 0.625 0.750 1
Nb2 Nb 0.625 0.375 0.250 1
B1 B 0.125 0.875 0.250 1
B2 B 0.875 0.125 0.750 1
S1 S 0.106 0.681 0.425 1
S2 S 0.244 0.319 0.925 1
S3 S 0.319 0.244 0.425 1
S4 S 0.319 0.894 0.075 1
S5 S 0.681 0.106 0.925 1
S6 S 0.681 0.756 0.575 1
S7 S 0.756 0.681 0.075 1
S8 S 0.894 0.319 0.575 1


(2)
# YTlAgTe3 PBE optimized geometry
# **Space-group type**: Cmcm (63)
# **Total moment**: 0.01 μB per formula unit
# **E**: -4.20 eV per atom
data_YTlAgTe3
_chemical_formula_sum 'Y2 Tl2 Ag2 Te6'
_symmetry_space_group_name_H-M 'P 1'
_symmetry_Int_Tables_number 1
_cell_length_a 8.022
_cell_length_b 8.022
_cell_length_c 11.440
_cell_angle_alpha 90.00
_cell_angle_beta 90.00
_cell_angle_gamma 149.41
loop_
_symmetry_equiv_pos_as_xyz
'x,y,z'
loop_
_atom_site_label
_atom_site_type_symbol
_atom_site_fract_x
_atom_site_fract_y
_atom_site_fract_z
_atom_site_occupancy
Y1 Y 0.000 0.000 0.000 1
Y2 Y 0.000 0.000 0.500 1
Tl1 Tl 0.238 0.762 0.750 1
Tl2 Tl 0.762 0.238 0.250 1
Ag1 Ag 0.463 0.537 0.250 1
Ag2 Ag 0.537 0.463 0.750 1
Te1 Te 0.083 0.917 0.250 1
Te2 Te 0.360 0.640 0.049 1
Te3 Te 0.360 0.640 0.451 1
Te4 Te 0.640 0.360 0.549 1
Te5 Te 0.640 0.360 0.951 1
Te6 Te 0.917 0.083 0.750 1


(3)
# TlHg2Au PBE optimized geometry
# **Space-group type**: F-43m (216)
# **E**: -1.49 eV per atom
data_TlHg2Au
_chemical_formula_sum 'Tl1 Hg2 Au1'
_symmetry_space_group_name_H-M 'P 1'
_symmetry_Int_Tables_number 1
_cell_length_a 5.148
_cell_length_b 5.148
_cell_length_c 5.148
_cell_angle_alpha 60.00
_cell_angle_beta 60.00
_cell_angle_gamma 60.00
loop_
_symmetry_equiv_pos_as_xyz
'x,y,z'
loop_
_atom_site_label
_atom_site_type_symbol
_atom_site_fract_x
_atom_site_fract_y
_atom_site_fract_z
_atom_site_occupancy
Tl1 Tl 0.000 0.000 0.000 1
Hg1 Hg 0.500 0.500 0.500 1
Hg2 Hg 0.750 0.750 0.750 1
Au1 Au 0.250 0.250 0.250 1


(4)
# TaTcNiB PBE optimized geometry
# **Space-group type**: F-43m (216)
# **Total moment**: 0.00 μB per formula unit
# **E**: -8.52 eV per atom
# **Energy relative to the lowest polymorph listed for this composition**: 0 meV/atom
data_TaTcNiB
_chemical_formula_sum 'Ta1 Tc1 Ni1 B1'
_symmetry_space_group_name_H-M 'P 1'
_symmetry_Int_Tables_number 1
_cell_length_a 4.114
_cell_length_b 4.114
_cell_length_c 4.114
_cell_angle_alpha 60.00
_cell_angle_beta 60.00
_cell_angle_gamma 60.00
loop_
_symmetry_equiv_pos_as_xyz
'x,y,z'
loop_
_atom_site_label
_atom_site_type_symbol
_atom_site_fract_x
_atom_site_fract_y
_atom_site_fract_z
_atom_site_occupancy
Ta1 Ta 0.000 0.000 0.000 1
Tc1 Tc 0.500 0.500 0.500 1
Ni1 Ni 0.750 0.750 0.750 1
B1 B 0.250 0.250 0.250 1


(5)
# Nd2Ga3Hg3 PBE optimized geometry
# **Space-group type**: P-6m2 (187)
# **Total moment**: 0.01 μB per formula unit
# **E**: -2.86 eV per atom
data_Nd2Ga3Hg3
_chemical_formula_sum 'Nd2 Ga3 Hg3'
_symmetry_space_group_name_H-M 'P 1'
_symmetry_Int_Tables_number 1
_cell_length_a 6.693
_cell_length_b 6.693
_cell_length_c 4.812
_cell_angle_alpha 90.00
_cell_angle_beta 90.00
_cell_angle_gamma 120.00
loop_
_symmetry_equiv_pos_as_xyz
'x,y,z'
loop_
_atom_site_label
_atom_site_type_symbol
_atom_site_fract_x
_atom_site_fract_y
_atom_site_fract_z
_atom_site_occupancy
Nd1 Nd 0.000 0.000 0.000 1
Nd2 Nd 0.333 0.667 0.500 1
Ga1 Ga 0.520 0.041 0.000 1
Ga2 Ga 0.520 0.480 0.000 1
Ga3 Ga 0.959 0.480 0.000 1
Hg1 Hg 0.349 0.174 0.500 1
Hg2 Hg 0.826 0.174 0.500 1
Hg3 Hg 0.826 0.651 0.500 1


(6)
# LaAgTe3Pb PBE optimized geometry
# **Space-group type**: P2_1/m (11)
# **Total moment**: 0.01 μB per formula unit
# **E**: -4.27 eV per atom
# **Energy relative to the lowest polymorph listed for this composition**: 15 meV/atom
data_LaAgTe3Pb
_chemical_formula_sum 'La2 Ag2 Te6 Pb2'
_symmetry_space_group_name_H-M 'P 1'
_symmetry_Int_Tables_number 1
_cell_length_a 8.550
_cell_length_b 4.472
_cell_length_c 10.784
_cell_angle_alpha 90.00
_cell_angle_beta 104.84
_cell_angle_gamma 90.00
loop_
_symmetry_equiv_pos_as_xyz
'x,y,z'
loop_
_atom_site_label
_atom_site_type_symbol
_atom_site_fract_x
_atom_site_fract_y
_atom_site_fract_z
_atom_site_occupancy
La1 La 0.201 0.250 0.166 1
La2 La 0.799 0.750 0.834 1
Ag1 Ag 0.419 0.750 0.415 1
Ag2 Ag 0.581 0.250 0.585 1
Te1 Te 0.075 0.250 0.855 1
Te2 Te 0.223 0.250 0.467 1
Te3 Te 0.467 0.750 0.164 1
Te4 Te 0.533 0.250 0.836 1
Te5 Te 0.777 0.750 0.533 1
Te6 Te 0.925 0.750 0.145 1
Pb1 Pb 0.247 0.750 0.701 1
Pb2 Pb 0.753 0.250 0.299 1


(7)
# PmGaGe PBE optimized geometry
# **Space-group type**: P3m1 (156)
# **Total moment**: 0.00 μB per formula unit
# **E**: -4.84 eV per atom
data_PmGaGe
_chemical_formula_sum 'Pm1 Ga1 Ge1'
_symmetry_space_group_name_H-M 'P 1'
_symmetry_Int_Tables_number 1
_cell_length_a 4.218
_cell_length_b 4.218
_cell_length_c 4.366
_cell_angle_alpha 90.00
_cell_angle_beta 90.00
_cell_angle_gamma 120.00
loop_
_symmetry_equiv_pos_as_xyz
'x,y,z'
loop_
_atom_site_label
_atom_site_type_symbol
_atom_site_fract_x
_atom_site_fract_y
_atom_site_fract_z
_atom_site_occupancy
Pm1 Pm 0.000 0.000 0.000 1
Ga1 Ga 0.333 0.667 0.414 1
Ge1 Ge 0.667 0.333 0.571 1


(8)
# CuAg9 PBE optimized geometry
# **Space-group type**: P-1 (2)
# **E**: -2.88 eV per atom
# **Formation energy from the elements**: 2.9 kJ per mole of atoms
# **Energy relative to the lowest polymorph listed for this composition**: 12 meV/atom
data_CuAg9
_chemical_formula_sum 'Cu1 Ag9'
_symmetry_space_group_name_H-M 'P 1'
_symmetry_Int_Tables_number 1
_cell_length_a 5.046
_cell_length_b 5.843
_cell_length_c 6.478
_cell_angle_alpha 76.94
_cell_angle_beta 75.19
_cell_angle_gamma 73.06
loop_
_symmetry_equiv_pos_as_xyz
'x,y,z'
loop_
_atom_site_label
_atom_site_type_symbol
_atom_site_fract_x
_atom_site_fract_y
_atom_site_fract_z
_atom_site_occupancy
Cu1 Cu 0.000 0.000 0.000 1
Ag1 Ag 0.000 0.500 0.000 1
Ag2 Ag 0.198 0.801 0.609 1
Ag3 Ag 0.199 0.296 0.604 1
Ag4 Ag 0.391 0.605 0.200 1
Ag5 Ag 0.400 0.099 0.196 1
Ag6 Ag 0.600 0.901 0.804 1
Ag7 Ag 0.609 0.395 0.800 1
Ag8 Ag 0.801 0.704 0.396 1
Ag9 Ag 0.802 0.199 0.391 1


(9)
# Ho2TmGa2 PBE optimized geometry
# **Space-group type**: P4/mbm (127)
# **Total moment**: 0.00 μB per formula unit
# **E**: -4.47 eV per atom
data_Ho2TmGa2
_chemical_formula_sum 'Ho4 Tm2 Ga4'
_symmetry_space_group_name_H-M 'P 1'
_symmetry_Int_Tables_number 1
_cell_length_a 7.619
_cell_length_b 7.619
_cell_length_c 4.250
_cell_angle_alpha 90.00
_cell_angle_beta 90.00
_cell_angle_gamma 90.00
loop_
_symmetry_equiv_pos_as_xyz
'x,y,z'
loop_
_atom_site_label
_atom_site_type_symbol
_atom_site_fract_x
_atom_site_fract_y
_atom_site_fract_z
_atom_site_occupancy
Ho1 Ho 0.175 0.325 0.000 1
Ho2 Ho 0.325 0.825 0.000 1
Ho3 Ho 0.675 0.175 0.000 1
Ho4 Ho 0.825 0.675 0.000 1
Tm1 Tm 0.000 0.000 0.500 1
Tm2 Tm 0.500 0.500 0.500 1
Ga1 Ga 0.121 0.621 0.500 1
Ga2 Ga 0.379 0.121 0.500 1
Ga3 Ga 0.621 0.879 0.500 1
Ga4 Ga 0.879 0.379 0.500 1


(10)
# LiBe2Ir PBE optimized geometry
# **Space-group type**: I4/mmm (139)
# **Total moment**: 0.00 μB per formula unit
# **E**: -4.95 eV per atom
data_LiBe2Ir
_chemical_formula_sum 'Li1 Be2 Ir1'
_symmetry_space_group_name_H-M 'P 1'
_symmetry_Int_Tables_number 1
_cell_length_a 3.883
_cell_length_b 3.883
_cell_length_c 3.883
_cell_angle_alpha 120.26
_cell_angle_beta 120.26
_cell_angle_gamma 89.56
loop_
_symmetry_equiv_pos_as_xyz
'x,y,z'
loop_
_atom_site_label
_atom_site_type_symbol
_atom_site_fract_x
_atom_site_fract_y
_atom_site_fract_z
_atom_site_occupancy
Li1 Li 0.000 0.000 0.000 1
Be1 Be 0.250 0.750 0.500 1
Be2 Be 0.750 0.250 0.500 1
Ir1 Ir 0.500 0.500 0.000 1


(11)
# DyTmZn2 PBE optimized geometry
# **Space-group type**: Pmm2 (25)
# **Total moment**: 0.17 μB per formula unit
# **E**: -3.25 eV per atom
# **Formation energy from the elements**: -33.5 kJ per mole of atoms
data_DyTmZn2
_chemical_formula_sum 'Dy1 Tm1 Zn2'
_symmetry_space_group_name_H-M 'P 1'
_symmetry_Int_Tables_number 1
_cell_length_a 3.552
_cell_length_b 4.990
_cell_length_c 4.990
_cell_angle_alpha 90.00
_cell_angle_beta 90.00
_cell_angle_gamma 90.00
loop_
_symmetry_equiv_pos_as_xyz
'x,y,z'
loop_
_atom_site_label
_atom_site_type_symbol
_atom_site_fract_x
_atom_site_fract_y
_atom_site_fract_z
_atom_site_occupancy
Dy1 Dy 0.000 0.000 0.000 1
Tm1 Tm 0.000 0.500 0.503 1
Zn1 Zn 0.500 0.000 0.499 1
Zn2 Zn 0.500 0.500 0.003 1


(12)
# SmNiB4 PBE optimized geometry
# **Space-group type**: P6/mmm (191)
# **Total moment**: 0.00 μB per formula unit
# **E**: -6.36 eV per atom
# **Energy relative to the lowest polymorph listed for this composition**: 357 meV/atom
data_SmNiB4
_chemical_formula_sum 'Sm1 Ni1 B4'
_symmetry_space_group_name_H-M 'P 1'
_symmetry_Int_Tables_number 1
_cell_length_a 3.204
_cell_length_b 3.204
_cell_length_c 6.596
_cell_angle_alpha 90.00
_cell_angle_beta 90.00
_cell_angle_gamma 120.00
loop_
_symmetry_equiv_pos_as_xyz
'x,y,z'
loop_
_atom_site_label
_atom_site_type_symbol
_atom_site_fract_x
_atom_site_fract_y
_atom_site_fract_z
_atom_site_occupancy
Sm1 Sm 0.000 0.000 0.000 1
Ni1 Ni 0.000 0.000 0.500 1
B1 B 0.333 0.667 0.302 1
B2 B 0.333 0.667 0.698 1
B3 B 0.667 0.333 0.302 1
B4 B 0.667 0.333 0.698 1